(1)
{
  "formula": "HfPt3Au",
  "functional": "PBE-GGA",
  "state": "optimized geometry",
  "lattice_angstrom": [[7.4442, 0.0000, 2.3948], [0.0000, 7.0332, 0.0000], [2.5271, 0.0000, 4.3540]],
  "species": ["Hf", "Hf", "Pt", "Pt", "Pt", "Pt", "Pt", "Pt", "Au", "Au"],
  "fractional_positions": [[0.7566, 0.7500, 0.8723], [0.2434, 0.2500, 0.1277], [0.7291, 0.4391, 0.5918], [0.2709, 0.5609, 0.4082], [0.2709, 0.9391, 0.4082], [0.7291, 0.0609, 0.5918], [0.9538, 0.7500, 0.1232], [0.0462, 0.2500, 0.8768], [0.4330, 0.7500, 0.7250], [0.5670, 0.2500, 0.2750]],
  "e_form_ev_per_atom": -0.516
}

=====

(2)
{
  "formula": "PrMg2Hg2",
  "functional": "PBE-GGA",
  "state": "optimized geometry",
  "lattice_angstrom": [[4.4221, 0.0000, 0.0000], [0.0000, 4.4221, 0.0000], [-2.2110, -2.2110, 6.4457]],
  "species": ["Pr", "Mg", "Mg", "Hg", "Hg"],
  "fractional_positions": [[0.0000, 0.0000, 0.0000], [0.7500, 0.2500, 0.5000], [0.2500, 0.7500, 0.5000], [0.6111, 0.6111, 0.2221], [0.3889, 0.3889, 0.7779]],
  "e_form_ev_per_atom": -0.342
}

=====

(3)
{
  "formula": "NaPbSN2",
  "functional": "PBE-GGA",
  "state": "optimized geometry",
  "lattice_angstrom": [[4.4627, 0.0000, 0.0000], [0.0000, 4.4627, 0.0000], [0.0000, 0.0000, 5.2001]],
  "species": ["Pb", "Na", "S", "N", "N"],
  "fractional_positions": [[0.5000, 0.5000, 0.5000], [0.0000, 0.0000, 0.0000], [0.0000, 0.0000, 0.5000], [0.0000, 0.5000, 0.0000], [0.5000, 0.0000, 0.0000]],
  "formation_energy_uncorrected_ev_per_atom": 1.506
}

=====

(4)
{
  "formula": "LiOsRh2",
  "functional": "PBE-GGA",
  "state": "optimized geometry",
  "lattice_angstrom": [[-2.5261, -2.4602, 2.7996], [3.3190, -3.0235, 0.3378], [1.0311, 1.3704, 2.1347]],
  "species": ["Li", "Os", "Rh", "Rh"],
  "fractional_positions": [[0.5000, 0.0000, 0.5000], [0.0000, 0.5000, 0.5000], [0.0000, 0.0000, 0.0000], [0.5000, 0.5000, 0.0000]],
  "e_form_ev_per_atom": 0.083
}

=====

(5)
{
  "formula": "TmNiSe",
  "functional": "PBE-GGA",
  "state": "optimized geometry",
  "lattice_angstrom": [[3.7712, 0.0000, 0.0000], [0.0000, 7.7524, 0.0000], [0.0000, 0.0000, 7.7524]],
  "species": ["Ni", "Ni", "Ni", "Ni", "Tm", "Tm", "Tm", "Tm", "Se", "Se", "Se", "Se"],
  "fractional_positions": [[0.5000, 0.8886, 0.1385], [0.5000, 0.1114, 0.8615], [0.0000, 0.1385, 0.1114], [0.0000, 0.8615, 0.8886], [0.5000, 0.7834, 0.5721], [0.0000, 0.4279, 0.7834], [0.0000, 0.5721, 0.2166], [0.5000, 0.2166, 0.4279], [0.5000, 0.3196, 0.0838], [0.0000, 0.9162, 0.3196], [0.0000, 0.0838, 0.6804], [0.5000, 0.6804, 0.9162]],
  "formation_energy_uncorrected_ev_per_atom": -0.693
}

=====

(6)
{
  "formula": "TlZnCu2",
  "functional": "PBE-GGA",
  "state": "optimized geometry",
  "lattice_angstrom": [[-2.5722, -1.6489, 0.3236], [1.3853, -2.5066, -1.7612], [2.3172, -2.5460, 5.4461]],
  "species": ["Cu", "Cu", "Tl", "Zn"],
  "fractional_positions": [[0.0000, 0.0000, 0.0087], [0.5000, 0.5000, 0.1968], [0.0000, 0.0000, 0.4829], [0.5000, 0.5000, 0.8115]],
  "e_form_ev_per_atom": 0.176
}

=====

(7)
{
  "formula": "LiNi2W",
  "functional": "PBE-GGA",
  "state": "optimized geometry",
  "lattice_angstrom": [[4.3494, -0.0031, -0.0059], [3.5862, 2.4611, -0.0059], [0.6149, 0.1905, 4.7117]],
  "species": ["Li", "Ni", "Ni", "W"],
  "fractional_positions": [[0.2500, 0.2500, 0.2500], [0.9986, 0.9986, 0.9976], [0.5014, 0.5014, 0.5024], [0.7500, 0.7500, 0.7500]],
  "e_form_ev_per_atom": 0.245
}

=====

(8)
{
  "formula": "KAl3Ir",
  "functional": "PBE-GGA",
  "state": "optimized geometry",
  "lattice_angstrom": [[4.8516, 0.0000, 0.0000], [0.0000, 4.8516, 0.0000], [0.0000, 0.0000, 4.8516]],
  "species": ["K", "Ir", "Al", "Al", "Al"],
  "fractional_positions": [[0.5000, 0.5000, 0.5000], [0.0000, 0.0000, 0.0000], [0.0000, 0.5000, 0.0000], [0.0000, 0.0000, 0.5000], [0.5000, 0.0000, 0.0000]],
  "e_form_ev_per_atom": -0.246
}

=====

(9)
{
  "formula": "Tb6Co2Hg",
  "functional": "PBE-GGA",
  "state": "optimized geometry",
  "lattice_angstrom": [[-3.9775, 5.8779, -4.4633], [-5.0632, -3.6962, 5.5672], [6.2365, 3.5466, 4.3380]],
  "species": ["Tb", "Tb", "Tb", "Tb", "Tb", "Tb", "Tb", "Tb", "Tb", "Tb", "Tb", "Tb", "Co", "Co", "Co", "Co", "Hg", "Hg"],
  "fractional_positions": [[0.5232, 0.7093, 0.8139], [0.4768, 0.2907, 0.1861], [0.1046, 0.2907, 0.8139], [0.8954, 0.7093, 0.1861], [0.7911, 0.7742, 0.5653], [0.2089, 0.2258, 0.4347], [0.2089, 0.7742, 0.9831], [0.7911, 0.2258, 0.0169], [0.6979, 0.3810, 0.6831], [0.3021, 0.6190, 0.3169], [0.3021, 0.9853, 0.6831], [0.6979, 0.0147, 0.3169], [0.5000, 0.3878, 0.8878], [0.5000, 0.6122, 0.1122], [0.6217, 0.0000, 0.6217], [0.3783, 0.0000, 0.3783], [0.0000, 0.5000, 0.5000], [0.0000, 0.0000, 0.0000]],
  "e_form_ev_per_atom": -0.239
}

=====

(10)
{
  "formula": "Sc2BeVP",
  "functional": "PBE-GGA",
  "state": "optimized geometry",
  "lattice_angstrom": [[-2.9248, -3.1812, -1.8696], [-0.1131, -2.0649, 3.6903], [-3.6878, 2.6015, 1.3427]],
  "species": ["Sc", "Sc", "P", "Be", "V"],
  "fractional_positions": [[0.0000, 0.0000, 0.5000], [0.5000, 0.0000, 0.0000], [0.5000, 0.5000, 0.5000], [0.0000, 0.5000, 0.0000], [0.0000, 0.0000, 0.0000]],
  "e_form_ev_per_atom": 0.743
}

=====

(11)
{
  "formula": "TaZnIr2",
  "functional": "PBE-GGA",
  "state": "optimized geometry",
  "lattice_angstrom": [[-1.2397, 3.4856, 2.7211], [-2.8617, -3.2868, 1.4486], [2.0020, -0.8571, 2.0100]],
  "species": ["Ir", "Ir", "Ta", "Zn"],
  "fractional_positions": [[0.0000, 0.0000, 0.0000], [0.5000, 0.5000, 0.0000], [0.5000, 0.0000, 0.5000], [0.0000, 0.5000, 0.5000]],
  "e_form_ev_per_atom": -0.373
}

=====

(12)
{
  "formula": "TlCr2NiPb",
  "functional": "PBE-GGA",
  "state": "optimized geometry",
  "lattice_angstrom": [[5.3345, 0.0000, 0.0000], [0.0000, 4.8471, 0.0000], [0.0000, 0.0000, 5.3345]],
  "species": ["Pb", "Ni", "Tl", "Cr", "Cr"],
  "fractional_positions": [[0.0000, 0.0000, 0.0000], [0.0000, 0.5000, 0.0000], [0.5000, 0.5000, 0.5000], [0.0000, 0.0000, 0.5000], [0.5000, 0.0000, 0.0000]],
  "e_form_ev_per_atom": 1.201
}

=====

(13)
{
  "formula": "Sm3MgP2Pt9",
  "functional": "PBE-GGA",
  "state": "optimized geometry",
  "lattice_angstrom": [[5.7270, 0.0000, 0.0000], [-2.8635, 4.9597, 0.0000], [0.0000, 0.0000, 10.6983]],
  "species": ["Sm", "Sm", "Sm", "Mg", "P", "P", "Pt", "Pt", "Pt", "Pt", "Pt", "Pt", "Pt", "Pt", "Pt"],
  "fractional_positions": [[0.3333, 0.6667, 0.5917], [0.0000, 0.0000, 0.0000], [0.6667, 0.3333, 0.4083], [0.0000, 0.0000, 0.5000], [0.3333, 0.6667, 0.1582], [0.6667, 0.3333, 0.8418], [0.8370, 0.1630, 0.6914], [0.8370, 0.6740, 0.6914], [0.3260, 0.1630, 0.6914], [0.6740, 0.8370, 0.3086], [0.1630, 0.3260, 0.3086], [0.1630, 0.8370, 0.3086], [0.5000, 0.0000, 0.0000], [0.0000, 0.5000, 0.0000], [0.5000, 0.5000, 0.0000]],
  "e_form_ev_per_atom": -0.782
}

=====

(14)
{
  "formula": "Tb12NdSc6",
  "functional": "PBE-GGA",
  "state": "optimized geometry",
  "lattice_angstrom": [[-6.4370, 3.7357, 5.1478], [1.9441, -8.0882, 3.5628], [7.4042, 5.1426, 0.7888]],
  "species": ["Tb", "Tb", "Tb", "Tb", "Tb", "Tb", "Tb", "Tb", "Tb", "Tb", "Tb", "Tb", "Nd", "Sc", "Sc", "Sc", "Sc", "Sc", "Sc"],
  "fractional_positions": [[0.8876, 0.1124, 0.5000], [0.3805, 0.1548, 0.3805], [0.3805, 0.3805, 0.1548], [0.8452, 0.6195, 0.6195], [0.6195, 0.6195, 0.8452], [0.6195, 0.8452, 0.6195], [0.5000, 0.8876, 0.1124], [0.1124, 0.5000, 0.8876], [0.1124, 0.8876, 0.5000], [0.5000, 0.1124, 0.8876], [0.8876, 0.5000, 0.1124], [0.1548, 0.3805, 0.3805], [0.0000, 0.0000, 0.0000], [0.6926, 0.2744, 0.6926], [0.6926, 0.6926, 0.2744], [0.2744, 0.6926, 0.6926], [0.3074, 0.3074, 0.7256], [0.3074, 0.7256, 0.3074], [0.7256, 0.3074, 0.3074]],
  "e_form_ev_per_atom": 0.423
}

=====

(15)
{
  "formula": "CsY2Cd2",
  "functional": "PBE-GGA",
  "state": "optimized geometry",
  "lattice_angstrom": [[-4.8216, 6.4376, -5.0311], [-6.9391, -6.3105, -1.4245], [-1.6310, 1.1178, 2.9934]],
  "species": ["Cs", "Cs", "Y", "Y", "Y", "Y", "Cd", "Cd", "Cd", "Cd"],
  "fractional_positions": [[0.0000, 0.0000, 0.0000], [0.5000, 0.5000, 0.0000], [0.3730, 0.8730, 0.0000], [0.8730, 0.6270, 0.0000], [0.6270, 0.1270, 0.0000], [0.1270, 0.3730, 0.0000], [0.1648, 0.6648, 0.5000], [0.6648, 0.8352, 0.5000], [0.8352, 0.3352, 0.5000], [0.3352, 0.1648, 0.5000]],
  "e_form_ev_per_atom": 0.023
}

=====

(16)
{
  "formula": "HoSi2F8",
  "functional": "PBE-GGA",
  "state": "optimized geometry",
  "lattice_angstrom": [[-1.5530, -3.0021, -4.4702], [-5.1468, -1.7599, 2.3836], [-5.4834, 2.2711, -0.2066]],
  "species": ["Ho", "Si", "Si", "F", "F", "F", "F", "F", "F", "F", "F"],
  "fractional_positions": [[0.0000, 0.0000, 0.0000], [0.6103, 0.7845, 0.7845], [0.3897, 0.2155, 0.2155], [0.2230, 0.3677, 0.8959], [0.7770, 0.1041, 0.6323], [0.3604, 0.9088, 0.9088], [0.6396, 0.0912, 0.0912], [0.2230, 0.8959, 0.3677], [0.7770, 0.6323, 0.1041], [0.8136, 0.6566, 0.6566], [0.1864, 0.3434, 0.3434]],
  "formation_energy_uncorrected_ev_per_atom": -2.874
}

=====

(17)
{
  "formula": "SrPuNpN3",
  "functional": "PBE-GGA",
  "state": "optimized geometry",
  "lattice_angstrom": [[3.4956, 0.0000, 0.0000], [0.0000, 7.0398, 1.0719], [0.0000, -1.5382, 8.7407]],
  "species": ["Sr", "Sr", "Pu", "Pu", "Np", "Np", "N", "N", "N", "N", "N", "N"],
  "fractional_positions": [[0.7500, 0.8674, 0.8252], [0.2500, 0.1326, 0.1748], [0.2500, 0.1908, 0.5708], [0.7500, 0.8092, 0.4292], [0.2500, 0.6264, 0.1371], [0.7500, 0.3736, 0.8629], [0.2500, 0.8785, 0.5753], [0.7500, 0.8275, 0.1444], [0.7500, 0.4174, 0.1039], [0.7500, 0.1215, 0.4247], [0.2500, 0.5826, 0.8961], [0.2500, 0.1725, 0.8556]],
  "formation_energy_uncorrected_ev_per_atom": -0.948
}

=====

(18)
{
  "formula": "KYZr",
  "functional": "PBE-GGA",
  "state": "optimized geometry",
  "lattice_angstrom": [[-2.1199, -1.4432, -3.9892], [-2.0435, -3.5607, 2.3741], [-8.2477, 6.1681, 2.1515]],
  "species": ["Y", "Y", "K", "K", "Zr", "Zr"],
  "fractional_positions": [[0.0000, 0.0000, 0.5000], [0.5000, 0.5000, 0.5000], [0.0000, 0.5000, 0.1300], [0.5000, 0.0000, 0.8700], [0.0000, 0.5000, 0.7138], [0.5000, 0.0000, 0.2862]],
  "e_form_ev_per_atom": 0.925
}

=====

(19)
{
  "formula": "AsRu3",
  "functional": "PBE-GGA",
  "state": "optimized geometry",
  "lattice_angstrom": [[-3.0774, -1.1946, 3.6117], [3.6762, -2.1288, 2.4282], [0.9785, 4.2407, 2.2364]],
  "species": ["As", "As", "Ru", "Ru", "Ru", "Ru", "Ru", "Ru"],
  "fractional_positions": [[0.0000, 0.0000, 0.0000], [0.5000, 0.5000, 0.5000], [0.7500, 0.5000, 0.0000], [0.2500, 0.5000, 0.0000], [0.0000, 0.7500, 0.5000], [0.0000, 0.2500, 0.5000], [0.5000, 0.0000, 0.2500], [0.5000, 0.0000, 0.7500]],
  "e_form_ev_per_atom": 0.529
}

=====

(20)
{
  "formula": "CaPm9Y2",
  "functional": "PBE-GGA",
  "state": "optimized geometry",
  "lattice_angstrom": [[-3.0453, 3.8148, -1.6814], [-3.7597, -1.6135, 3.1487], [5.4090, 9.2548, 11.2009]],
  "species": ["Ca", "Pm", "Pm", "Pm", "Pm", "Pm", "Pm", "Pm", "Pm", "Pm", "Y", "Y"],
  "fractional_positions": [[0.0000, 0.0000, 0.0000], [0.5000, 0.5000, 0.0000], [0.5000, 0.5000, 0.3343], [0.5000, 0.5000, 0.6657], [0.5000, 0.0000, 0.1721], [0.5000, 0.0000, 0.5000], [0.5000, 0.0000, 0.8279], [0.0000, 0.5000, 0.1721], [0.0000, 0.5000, 0.5000], [0.0000, 0.5000, 0.8279], [0.0000, 0.0000, 0.3342], [0.0000, 0.0000, 0.6658]],
  "e_form_ev_per_atom": 0.036
}

=====

| no. | E_tot (eV/cell) | mass density (g/cm3) |
| --- | --- | --- |
| 1 | -67.87 | 17.209 |
| 2 | -10.28 | 7.782 |
| 3 | -18.27 | 4.654 |
| 4 | -27.52 | 12.055 |
| 5 | -63.26 | 8.985 |
| 6 | -11.13 | 9.902 |
| 7 | -25.45 | 10.134 |
| 8 | -22.42 | 4.541 |
| 9 | -88.90 | 9.330 |
| 10 | -27.20 | 3.202 |
| 11 | -32.34 | 17.063 |
| 12 | -25.10 | 6.913 |
| 13 | -92.67 | 12.531 |
| 14 | -90.28 | 6.302 |
| 15 | -30.99 | 5.508 |
| 16 | -62.00 | 4.253 |
| 17 | -119.23 | 9.182 |
| 18 | -26.67 | 3.077 |
| 19 | -60.73 | 10.720 |
| 20 | -57.25 | 6.120 |